Density functional theory data (PBE) for an optimized crystal structure of BeInPb.

Properties
Energy above the most stable polymorph in this dataset   0.21 eV per formula unit
Space group   Cm (8)
DFT formation energy   453 meV/atom
Volume   22.99 Å³ per atom

Lattice parameters (Å, degrees): 6.711 6.711 3.256 99.86 99.86 28.54
Atoms (fractional coordinates):
Be (0.000, 0.000, 0.000)
In (0.614, 0.614, 0.566)
Pb (0.342, 0.342, 0.594)


Density functional theory data (PBE) for an optimized crystal structure of BeIn3Pb.

Properties
Energy above the most stable polymorph in this dataset   0.00 eV per formula unit
Space group   Pm-3m (221)
DFT formation energy   287 meV/atom
Volume   25.64 Å³ per atom

Lattice parameters (Å, degrees): 5.042 5.042 5.042 90.00 90.00 90.00
Atoms (fractional coordinates):
Be (0.000, 0.000, 0.000)
In (0.000, 0.000, 0.500)
In (0.000, 0.500, 0.000)
In (0.500, 0.000, 0.000)
Pb (0.500, 0.500, 0.500)


Density functional theory data (PBE) for an optimized crystal structure of BeIn2Pb.

Properties
Energy above the most stable polymorph in this dataset   0.88 eV per formula unit
Space group   Fm-3m (225)
DFT formation energy   537 meV/atom
Volume   24.83 Å³ per atom

Lattice parameters (Å, degrees): 5.198 5.198 5.198 60.00 60.00 60.00
Atoms (fractional coordinates):
Be (0.000, 0.000, 0.000)
In (0.250, 0.250, 0.250)
In (0.750, 0.750, 0.750)
Pb (0.500, 0.500, 0.500)


Density functional theory data (PBE) for an optimized crystal structure of BeInPb.

Properties
Energy above the most stable polymorph in this dataset   0.16 eV per formula unit
Space group   P3m1 (156)
DFT formation energy   437 meV/atom
Volume   23.60 Å³ per atom

Lattice parameters (Å, degrees): 4.188 4.188 4.661 90.00 90.00 120.00
Atoms (fractional coordinates):
Be (0.000, 0.000, 0.000)
In (0.667, 0.333, 0.204)
Pb (0.333, 0.667, 0.702)


Density functional theory data (PBE) for an optimized crystal structure of BeIn2Pb.

Properties
Energy above the most stable polymorph in this dataset   0.16 eV per formula unit
Space group   C2/m (12)
DFT formation energy   357 meV/atom
Volume   23.77 Å³ per atom

Lattice parameters (Å, degrees): 6.270 6.270 5.366 114.29 114.29 29.88
Atoms (fractional coordinates):
Be (0.000, 0.000, 0.000)
In (0.301, 0.301, 0.800)
In (0.699, 0.699, 0.200)
Pb (0.500, 0.500, 0.500)


Density functional theory data (PBE) for an optimized crystal structure of BeIn2Pb.

Properties
Energy above the most stable polymorph in this dataset   0.08 eV per formula unit
Space group   P4mm (99)
DFT formation energy   336 meV/atom
Volume   23.95 Å³ per atom

Lattice parameters (Å, degrees): 3.296 3.296 8.818 90.00 90.00 90.00
Atoms (fractional coordinates):
Be (0.000, 0.000, 0.000)
In (0.000, 0.000, 0.531)
In (0.500, 0.500, 0.821)
Pb (0.500, 0.500, 0.206)


Density functional theory data (PBE) for an optimized crystal structure of BeInPb2.

Properties
Energy above the most stable polymorph in this dataset   0.36 eV per formula unit
Space group   Immm (71)
DFT formation energy   430 meV/atom
Volume   25.83 Å³ per atom

Lattice parameters (Å, degrees): 5.624 5.624 5.624 136.68 119.52 77.27
Atoms (fractional coordinates):
Be (0.000, 0.000, 0.000)
In (0.500, 0.500, 0.000)
Pb (0.204, 0.704, 0.500)
Pb (0.796, 0.296, 0.500)


Density functional theory data (PBE) for an optimized crystal structure of BeInPb2.

Properties
Energy above the most stable polymorph in this dataset   0.66 eV per formula unit
Space group   P4/mmm (123)
DFT formation energy   504 meV/atom
Volume   25.83 Å³ per atom

Lattice parameters (Å, degrees): 4.949 4.949 4.218 90.00 90.00 90.00
Atoms (fractional coordinates):
Be (0.000, 0.000, 0.000)
In (0.500, 0.500, 0.000)
Pb (0.000, 0.500, 0.500)
Pb (0.500, 0.000, 0.500)


Density functional theory data (PBE) for an optimized crystal structure of BeIn3Pb.

Properties
Energy above the most stable polymorph in this dataset   3.93 eV per formula unit
Space group   Pm-3m (221)
DFT formation energy   1073 meV/atom
Volume   40.67 Å³ per atom

Lattice parameters (Å, degrees): 5.881 5.881 5.881 90.00 90.00 90.00
Atoms (fractional coordinates):
Be (0.000, 0.000, 0.000)
In (0.000, 0.500, 0.500)
In (0.500, 0.000, 0.500)
In (0.500, 0.500, 0.000)
Pb (0.500, 0.500, 0.500)


Density functional theory data (PBE) for an optimized crystal structure of BeIn2Pb.

Properties
Energy above the most stable polymorph in this dataset   0.08 eV per formula unit
Space group   Cmmm (65)
DFT formation energy   335 meV/atom
Volume   23.55 Å³ per atom

Lattice parameters (Å, degrees): 3.342 3.342 8.592 90.00 90.00 101.09
Atoms (fractional coordinates):
Be (0.000, 0.000, 0.000)
In (0.500, 0.500, 0.189)
In (0.500, 0.500, 0.811)
Pb (0.000, 0.000, 0.500)


Density functional theory data (PBE) for an optimized crystal structure of BeInPb2.

Properties
Energy above the most stable polymorph in this dataset   0.66 eV per formula unit
Space group   C2/m (12)
DFT formation energy   504 meV/atom
Volume   25.87 Å³ per atom

Lattice parameters (Å, degrees): 5.458 5.458 3.507 90.21 90.21 97.90
Atoms (fractional coordinates):
Be (0.000, 0.000, 0.000)
In (0.500, 0.500, 0.000)
Pb (0.000, 0.500, 0.500)
Pb (0.500, 0.000, 0.500)


Density functional theory data (PBE) for an optimized crystal structure of BeIn2Pb.

Properties
Energy above the most stable polymorph in this dataset   0.03 eV per formula unit
Space group   Cm (8)
DFT formation energy   324 meV/atom
Volume   25.44 Å³ per atom

Lattice parameters (Å, degrees): 4.270 4.270 6.897 107.33 107.33 59.48
Atoms (fractional coordinates):
Be (0.000, 0.000, 0.000)
In (0.295, 0.295, 0.883)
In (0.534, 0.534, 0.595)
Pb (0.735, 0.735, 0.221)


Question: volume of number 12 (BeIn2Pb)?
Answer: 25.44 Å³ per atom


Question: Which of these has the highest volume?
Answer: number 9


Question: What is the DFT formation energy in the third record?
Answer: 537 meV/atom


Question: Look up the energy above the most stable polymorph in this dataset of the fourth one.
Answer: 0.16 eV per formula unit